No. 1
# MnReS3 | the Alexandria database | PBE | optimized geometry
data_MnReS3
_chemical_formula_sum 'Mn1 Re1 S3'
_cell_length_a 4.3394
_cell_length_b 4.3394
_cell_length_c 4.3394
_cell_angle_alpha 90.00
_cell_angle_beta 90.00
_cell_angle_gamma 90.00
_space_group_name_H-M_alt 'P m -3 m'
_space_group_IT_number 221
_space_group_name_Hall '-P 4 2 3'
loop_
_atom_site_label
_atom_site_fract_x
_atom_site_fract_y
_atom_site_fract_z
_atom_site_occupancy
Mn1 0.0000 0.0000 0.0000 1
Re1 0.5000 0.5000 0.5000 1
S1 0.0000 0.0000 0.5000 1
# raw formation energy	1.06	eV per atom
# N(E_F)	1.213	states/eV/atom
# ρ	6855	kg/m3
# magnetic moment	2.909	μB/cell

=====

No. 2
# MnRe2S6 | the Alexandria database | PBE | optimized geometry
data_MnRe2S6
_chemical_formula_sum 'Mn2 Re4 S12'
_cell_length_a 11.5881
_cell_length_b 4.2895
_cell_length_c 8.5331
_cell_angle_alpha 90.00
_cell_angle_beta 121.13
_cell_angle_gamma 90.00
_space_group_name_H-M_alt 'C 1 2/m 1'
_space_group_IT_number 12
loop_
_space_group_symop_operation_xyz
'x,y,z'
'-x,-y,-z'
'-x,y,-z'
'x,-y,z'
'x+1/2,y+1/2,z'
'-x+1/2,-y+1/2,-z'
'-x+1/2,y+1/2,-z'
'x+1/2,-y+1/2,z'
loop_
_atom_site_label
_atom_site_fract_x
_atom_site_fract_y
_atom_site_fract_z
_atom_site_occupancy
Mn1 0.0000 0.0000 0.0000 1
Re1 0.1400 0.0000 0.5639 1
S1 0.0381 0.0000 0.7316 1
S2 0.1366 0.5000 0.1311 1
S3 0.2173 0.5000 0.5834 1
# raw formation energy	-0.13	eV per atom
# N(E_F)	0.720	states/eV/atom
# ρ	5669	kg/m3
# magnetic moment	7.837	μB/cell

=====

No. 3
# MnReS | the Alexandria database | PBE | optimized geometry
data_MnReS
_chemical_formula_sum 'Mn1 Re1 S1'
_cell_length_a 2.8231
_cell_length_b 2.8231
_cell_length_c 5.8595
_cell_angle_alpha 90.00
_cell_angle_beta 90.00
_cell_angle_gamma 120.00
_space_group_name_H-M_alt 'P 3 m 1'
_space_group_IT_number 156
loop_
_space_group_symop_operation_xyz
'x,y,z'
'-y,x-y,z'
'-x+y,-x,z'
'-y,-x,z'
'-x+y,y,z'
'x,x-y,z'
loop_
_atom_site_label
_atom_site_fract_x
_atom_site_fract_y
_atom_site_fract_z
_atom_site_occupancy
Mn1 0.0000 0.0000 0.0000 1
Re1 0.3333 0.6667 0.6560 1
S1 0.3333 0.6667 0.2453 1
# raw formation energy	-0.07	eV per atom
# N(E_F)	0.282	states/eV/atom
# ρ	11218	kg/m3
# magnetic moment	0.000	μB/cell

=====

No. 4
# Mn3ReS | the Alexandria database | PBE | optimized geometry
data_Mn3ReS
_chemical_formula_sum 'Mn3 Re1 S1'
_cell_length_a 4.0461
_cell_length_b 4.0461
_cell_length_c 4.0461
_cell_angle_alpha 90.00
_cell_angle_beta 90.00
_cell_angle_gamma 90.00
_space_group_name_H-M_alt 'P m -3 m'
_space_group_IT_number 221
_space_group_name_Hall '-P 4 2 3'
loop_
_atom_site_label
_atom_site_fract_x
_atom_site_fract_y
_atom_site_fract_z
_atom_site_occupancy
Mn1 0.0000 0.0000 0.5000 1
Re1 0.5000 0.5000 0.5000 1
S1 0.0000 0.0000 0.0000 1
# raw formation energy	0.67	eV per atom
# N(E_F)	2.201	states/eV/atom
# ρ	9604	kg/m3
# magnetic moment	2.643	μB/cell

=====

No. 5
# Mn3ReS | the Alexandria database | PBE | optimized geometry
data_Mn3ReS
_chemical_formula_sum 'Mn3 Re1 S1'
_cell_length_a 4.6677
_cell_length_b 4.6677
_cell_length_c 4.6677
_cell_angle_alpha 90.00
_cell_angle_beta 90.00
_cell_angle_gamma 90.00
_space_group_name_H-M_alt 'P m -3 m'
_space_group_IT_number 221
_space_group_name_Hall '-P 4 2 3'
loop_
_atom_site_label
_atom_site_fract_x
_atom_site_fract_y
_atom_site_fract_z
_atom_site_occupancy
Mn1 0.0000 0.0000 0.5000 1
Re1 0.0000 0.0000 0.0000 1
S1 0.5000 0.5000 0.5000 1
# raw formation energy	1.34	eV per atom
# N(E_F)	1.110	states/eV/atom
# ρ	6255	kg/m3
# magnetic moment	9.138	μB/cell

=====

No. 6
# MnReS | the Alexandria database | PBE | optimized geometry
data_MnReS
_chemical_formula_sum 'Mn2 Re2 S2'
_cell_length_a 2.8320
_cell_length_b 2.8320
_cell_length_c 9.2627
_cell_angle_alpha 90.00
_cell_angle_beta 90.00
_cell_angle_gamma 90.00
_space_group_name_H-M_alt 'I 4 m m'
_space_group_IT_number 107
_space_group_name_Hall 'I 4 -2'
loop_
_atom_site_label
_atom_site_fract_x
_atom_site_fract_y
_atom_site_fract_z
_atom_site_occupancy
Mn1 0.0000 0.0000 0.0000 1
Re1 0.0000 0.0000 0.6851 1
S1 0.0000 0.0000 0.3521 1
# raw formation energy	0.10	eV per atom
# N(E_F)	0.606	states/eV/atom
# ρ	12214	kg/m3
# magnetic moment	0.000	μB/cell